Entry 1:
Entry from Alexandria: a relaxed HfVGa2 crystal (GGA-PBE).

The structure in CIF format:
```
data_HfVGa2
_chemical_formula_sum 'Hf4 V4 Ga8'
_symmetry_space_group_name_H-M 'P n m a'
_symmetry_Int_Tables_number 62
_symmetry_space_group_name_Hall '-P 2ac 2n'
_cell_length_a 5.2252
_cell_length_b 2.9026
_cell_length_c 18.0031
_cell_angle_alpha 90.00
_cell_angle_beta 90.00
_cell_angle_gamma 90.00
loop_
_atom_site_label
_atom_site_type_symbol
_atom_site_fract_x
_atom_site_fract_y
_atom_site_fract_z
Hf1 Hf 0.0760 0.2500 0.1264
V1 V 0.0734 0.7500 0.3769
Ga1 Ga 0.1757 0.2500 0.7503
Ga2 Ga 0.2269 0.2500 0.4972
```

The total magnetic moment is 0.0 μB/f.u. The calculation puts the formation energy at -0.45 eV/f.u. As for the volume: 273.05 Å³/cell. As for the relative energy among the computed polymorphs: 155.0 meV per atom. The density of states at the Fermi level comes out at 15.33 states/eV per cell.

Entry 2:
Entry from Alexandria: a relaxed Hf12VGa6 crystal (GGA-PBE).

The structure in CIF format:
```
data_Hf12VGa6
_chemical_formula_sum 'Hf36 V3 Ga18'
_symmetry_space_group_name_H-M 'R -3'
_symmetry_Int_Tables_number 148
_symmetry_space_group_name_Hall '-R 3'
_cell_length_a 10.1365
_cell_length_b 10.1365
_cell_length_c 12.5626
_cell_angle_alpha 90.00
_cell_angle_beta 90.00
_cell_angle_gamma 120.00
loop_
_atom_site_label
_atom_site_type_symbol
_atom_site_fract_x
_atom_site_fract_y
_atom_site_fract_z
Hf1 Hf 0.0423 0.1851 0.3131
Hf2 Hf 0.0698 0.8505 0.9117
V1 V 0.0000 0.0000 0.5000
Ga1 Ga 0.0342 0.4434 0.2107
```

The total magnetic moment is 1.2 μB/f.u. The calculation puts the formation energy at -3.05 eV/f.u. As for the volume: 1117.85 Å³/cell. The density of states at the Fermi level comes out at 55.00 states/eV per cell.

Entry 3:
Entry from Alexandria: a relaxed HfV2Ga crystal (GGA-PBE).

The structure in CIF format:
```
data_HfV2Ga
_chemical_formula_sum 'Hf4 V8 Ga4'
_symmetry_space_group_name_H-M 'I -4 2 d'
_symmetry_Int_Tables_number 122
_symmetry_space_group_name_Hall 'I -4 2bw'
_cell_length_a 7.2231
_cell_length_b 7.2231
_cell_length_c 5.2649
_cell_angle_alpha 90.00
_cell_angle_beta 90.00
_cell_angle_gamma 90.00
loop_
_atom_site_label
_atom_site_type_symbol
_atom_site_fract_x
_atom_site_fract_y
_atom_site_fract_z
Hf1 Hf 0.0000 0.0000 0.0000
V1 V 0.2214 0.2500 0.6250
Ga1 Ga 0.0000 0.0000 0.5000
```

The total magnetic moment is 0.0 μB/f.u. The calculation puts the formation energy at 1.72 eV/f.u. As for the volume: 274.69 Å³/cell. The density of states at the Fermi level comes out at 18.64 states/eV per cell.

Entry 4:
Entry from Alexandria: a relaxed Hf3VGa6 crystal (GGA-PBE).

The structure in CIF format:
```
data_Hf3VGa6
_chemical_formula_sum 'Hf12 V4 Ga24'
_symmetry_space_group_name_H-M 'C m c 21'
_symmetry_Int_Tables_number 36
_symmetry_space_group_name_Hall 'C 2c -2'
_cell_length_a 10.5301
_cell_length_b 10.8025
_cell_length_c 6.5133
_cell_angle_alpha 90.00
_cell_angle_beta 90.00
_cell_angle_gamma 90.00
loop_
_atom_site_label
_atom_site_type_symbol
_atom_site_fract_x
_atom_site_fract_y
_atom_site_fract_z
Hf1 Hf 0.0000 0.2005 0.0000
Hf2 Hf 0.1719 0.4499 0.0241
V1 V 0.0000 0.3923 0.7261
Ga1 Ga 0.0000 0.1715 0.5312
Ga2 Ga 0.0000 0.3755 0.3294
Ga3 Ga 0.1198 0.0052 0.2739
Ga4 Ga 0.2317 0.2849 0.6847
```

The total magnetic moment is 0.0 μB/f.u. The calculation puts the formation energy at -1.69 eV/f.u. As for the volume: 740.90 Å³/cell. The density of states at the Fermi level comes out at 20.80 states/eV per cell.

Entry 5:
Entry from Alexandria: a relaxed Hf2V15Ga2 crystal (GGA-PBE).

The structure in CIF format:
```
data_Hf2V15Ga2
_chemical_formula_sum 'Hf6 V45 Ga6'
_symmetry_space_group_name_H-M 'R -3 m'
_symmetry_Int_Tables_number 166
_symmetry_space_group_name_Hall '-R 3 2"'
_cell_length_a 8.9555
_cell_length_b 8.9555
_cell_length_c 12.2483
_cell_angle_alpha 90.00
_cell_angle_beta 90.00
_cell_angle_gamma 120.00
loop_
_atom_site_label
_atom_site_type_symbol
_atom_site_fract_x
_atom_site_fract_y
_atom_site_fract_z
Hf1 Hf 0.0000 0.0000 0.1519
V1 V 0.0000 0.3131 0.5000
V2 V 0.0000 0.5000 0.0000
V3 V 0.0047 0.5023 0.6522
Ga1 Ga 0.0000 0.0000 0.3934
```

The total magnetic moment is 0.0 μB/f.u. The calculation puts the formation energy at 1.32 eV/f.u. As for the volume: 850.71 Å³/cell. The density of states at the Fermi level comes out at 69.67 states/eV per cell.

Entry 6:
Entry from Alexandria: a relaxed HfVGa2 crystal (GGA-PBE).

The structure in CIF format:
```
data_HfVGa2
_chemical_formula_sum 'Hf1 V1 Ga2'
_symmetry_space_group_name_H-M 'P 4/m m m'
_symmetry_Int_Tables_number 123
_symmetry_space_group_name_Hall '-P 4 2'
_cell_length_a 3.3490
_cell_length_b 3.3490
_cell_length_c 5.8372
_cell_angle_alpha 90.00
_cell_angle_beta 90.00
_cell_angle_gamma 90.00
loop_
_atom_site_label
_atom_site_type_symbol
_atom_site_fract_x
_atom_site_fract_y
_atom_site_fract_z
Hf1 Hf 0.0000 0.0000 0.0000
V1 V 0.0000 0.0000 0.5000
Ga1 Ga 0.5000 0.5000 0.2808
```

The total magnetic moment is 0.7 μB/f.u. The calculation puts the formation energy at -0.65 eV/f.u. As for the volume: 65.47 Å³/cell. As for the relative energy among the computed polymorphs: 106.0 meV per atom. The density of states at the Fermi level comes out at 4.03 states/eV per cell.

Entry 7:
Entry from Alexandria: a relaxed Hf3V8Ga crystal (GGA-PBE).

The structure in CIF format:
```
data_Hf3V8Ga
_chemical_formula_sum 'Hf9 V24 Ga3'
_symmetry_space_group_name_H-M 'R 3 m'
_symmetry_Int_Tables_number 160
_symmetry_space_group_name_Hall 'R 3 -2"'
_cell_length_a 5.1313
_cell_length_b 5.1313
_cell_length_c 25.0596
_cell_angle_alpha 90.00
_cell_angle_beta 90.00
_cell_angle_gamma 120.00
loop_
_atom_site_label
_atom_site_type_symbol
_atom_site_fract_x
_atom_site_fract_y
_atom_site_fract_z
Hf1 Hf 0.0000 0.0000 0.0000
Hf2 Hf 0.0000 0.0000 0.1255
Hf3 Hf 0.0000 0.0000 0.5017
V1 V 0.0000 0.0000 0.3137
V2 V 0.0000 0.0000 0.8128
V3 V 0.0012 0.5006 0.5641
V4 V 0.0073 0.5036 0.0624
Ga1 Ga 0.0000 0.0000 0.6252
```

The total magnetic moment is 0.0 μB/f.u. The calculation puts the formation energy at 0.07 eV/f.u. As for the volume: 571.42 Å³/cell. The density of states at the Fermi level comes out at 49.39 states/eV per cell.

Entry 8:
Entry from Alexandria: a relaxed HfV4Ga4 crystal (GGA-PBE).

The structure in CIF format:
```
data_HfV4Ga4
_chemical_formula_sum 'Hf2 V8 Ga8'
_symmetry_space_group_name_H-M 'P 42/n'
_symmetry_Int_Tables_number 86
_cell_length_a 7.6288
_cell_length_b 7.6288
_cell_length_c 4.8569
_cell_angle_alpha 90.00
_cell_angle_beta 90.00
_cell_angle_gamma 90.00
loop_
_symmetry_equiv_pos_as_xyz
'x,y,z'
'-x,-y,-z'
'-y,x+1/2,z+1/2'
'y,-x+1/2,-z+1/2'
'-x+1/2,-y+1/2,z'
'x+1/2,y+1/2,-z'
'y+1/2,-x,z+1/2'
'-y+1/2,x,-z+1/2'
loop_
_atom_site_label
_atom_site_type_symbol
_atom_site_fract_x
_atom_site_fract_y
_atom_site_fract_z
Hf1 Hf 0.2500 0.2500 0.2500
V1 V 0.1134 0.8016 0.6398
Ga1 Ga 0.0410 0.1235 0.8243
```

The total magnetic moment is 0.0 μB/f.u. The calculation puts the formation energy at -0.09 eV/f.u. As for the volume: 282.66 Å³/cell. The density of states at the Fermi level comes out at 14.31 states/eV per cell.

Entry 9:
Entry from Alexandria: a relaxed HfVGa crystal (GGA-PBE).

The structure in CIF format:
```
data_HfVGa
_chemical_formula_sum 'Hf1 V1 Ga1'
_symmetry_space_group_name_H-M 'P 3 m 1'
_symmetry_Int_Tables_number 156
_symmetry_space_group_name_Hall 'P 3 -2"'
_cell_length_a 4.4737
_cell_length_b 4.4737
_cell_length_c 3.0675
_cell_angle_alpha 90.00
_cell_angle_beta 90.00
_cell_angle_gamma 120.00
loop_
_atom_site_label
_atom_site_type_symbol
_atom_site_fract_x
_atom_site_fract_y
_atom_site_fract_z
Hf1 Hf 0.0000 0.0000 0.0000
V1 V 0.3333 0.6667 0.5030
Ga1 Ga 0.6667 0.3333 0.4977
```

The total magnetic moment is 2.0 μB/f.u. The calculation puts the formation energy at -0.07 eV/f.u. As for the volume: 53.17 Å³/cell. As for the relative energy among the computed polymorphs: 305.2 meV per atom. The density of states at the Fermi level comes out at 3.66 states/eV per cell.

Entry 10:
Entry from Alexandria: a relaxed Hf2V2Ga crystal (GGA-PBE).

The structure in CIF format:
```
data_Hf2V2Ga
_chemical_formula_sum 'Hf4 V4 Ga2'
_symmetry_space_group_name_H-M 'P 4/m b m'
_symmetry_Int_Tables_number 127
_symmetry_space_group_name_Hall '-P 4 2ab'
_cell_length_a 6.6977
_cell_length_b 6.6977
_cell_length_c 3.9338
_cell_angle_alpha 90.00
_cell_angle_beta 90.00
_cell_angle_gamma 90.00
loop_
_atom_site_label
_atom_site_type_symbol
_atom_site_fract_x
_atom_site_fract_y
_atom_site_fract_z
Hf1 Hf 0.1744 0.3256 0.0000
V1 V 0.1239 0.6239 0.5000
Ga1 Ga 0.0000 0.0000 0.5000
```

The total magnetic moment is 0.0 μB/f.u. The calculation puts the formation energy at -0.22 eV/f.u. As for the volume: 176.47 Å³/cell. The density of states at the Fermi level comes out at 10.92 states/eV per cell.

Entry 11:
Entry from Alexandria: a relaxed HfV2Ga crystal (GGA-PBE).

The structure in CIF format:
```
data_HfV2Ga
_chemical_formula_sum 'Hf3 V6 Ga3'
_symmetry_space_group_name_H-M 'R -3 m'
_symmetry_Int_Tables_number 166
_symmetry_space_group_name_Hall '-R 3 2"'
_cell_length_a 2.9354
_cell_length_b 2.9354
_cell_length_c 26.7516
_cell_angle_alpha 90.00
_cell_angle_beta 90.00
_cell_angle_gamma 120.00
loop_
_atom_site_label
_atom_site_type_symbol
_atom_site_fract_x
_atom_site_fract_y
_atom_site_fract_z
Hf1 Hf 0.0000 0.0000 0.0000
V1 V 0.0000 0.0000 0.2460
Ga1 Ga 0.0000 0.0000 0.5000
```

The total magnetic moment is 0.0 μB/f.u. The calculation puts the formation energy at 0.73 eV/f.u. As for the volume: 199.63 Å³/cell. The density of states at the Fermi level comes out at 12.55 states/eV per cell.

Entry 12:
Entry from Alexandria: a relaxed HfVGa crystal (GGA-PBE).

The structure in CIF format:
```
data_HfVGa
_chemical_formula_sum 'Hf2 V2 Ga2'
_symmetry_space_group_name_H-M 'I 4 m m'
_symmetry_Int_Tables_number 107
_symmetry_space_group_name_Hall 'I 4 -2'
_cell_length_a 2.7599
_cell_length_b 2.7599
_cell_length_c 14.8394
_cell_angle_alpha 90.00
_cell_angle_beta 90.00
_cell_angle_gamma 90.00
loop_
_atom_site_label
_atom_site_type_symbol
_atom_site_fract_x
_atom_site_fract_y
_atom_site_fract_z
Hf1 Hf 0.0000 0.0000 0.0000
V1 V 0.0000 0.0000 0.8200
Ga1 Ga 0.0000 0.0000 0.6506
```

The total magnetic moment is 0.0 μB/f.u. The calculation puts the formation energy at 1.84 eV/f.u. As for the volume: 113.03 Å³/cell. As for the relative energy among the computed polymorphs: 943.9 meV per atom. The density of states at the Fermi level comes out at 5.02 states/eV per cell.